Entry 1:
Compound: Sr2Li2Mn
Source: Alexandria via LeMat-Bulk
Functional: GGA-PBE
Structure: optimized geometry

Cell: 3.9749 3.9749 10.3805 Å, 78.96 78.96 90.00°
Closest atoms and distances in Å follow each position.
Element x y z (fractional)
Sr (0.5976, 0.5976, 0.8048)  4 Mn 3.42, 4 Li 3.64
Sr (0.4024, 0.4024, 0.1952)  4 Mn 3.42, 4 Li 3.64
Li (0.2500, 0.7500, 0.5000)  4 Li 2.81
Li (0.7500, 0.2500, 0.5000)  4 Li 2.81
Mn (0.0000, 0.0000, 0.0000)  8 Sr 3.42

DOS at the Fermi energy: 0.74 states/eV/atom
excess energy over the best structure of this formula in the dataset: 0.0 meV per atom

---

Entry 2:
Compound: SrLi3Mn
Source: Alexandria via LeMat-Bulk
Functional: GGA-PBE
Structure: optimized geometry

Cell: 5.4726 5.4726 5.4726 Å, 90.00 90.00 90.00°
Closest atoms and distances in Å follow each position.
Element x y z (fractional)
Li (0.0000, 0.0000, 0.5000)  2 Sr 2.74
Li (0.0000, 0.5000, 0.0000)  2 Sr 2.74
Li (0.5000, 0.0000, 0.0000)  2 Sr 2.74
Mn (0.5000, 0.5000, 0.5000)  12 Li 3.87
Sr (0.0000, 0.0000, 0.0000)  6 Li 2.74

DOS at the Fermi energy: 1.09 states/eV/atom
excess energy over the best structure of this formula in the dataset: 798.3 meV per atom

---

Entry 3:
Compound: SrLi2TiMn
Source: Alexandria via LeMat-Bulk
Functional: GGA-PBE
Structure: optimized geometry

Cell: 5.1611 4.3901 5.1611 Å, 90.00 90.00 90.00°
Closest atoms and distances in Å follow each position.
Element x y z (fractional)
Sr (0.5000, 0.5000, 0.5000)  8 Li 3.39, 4 Ti 3.65
Ti (0.0000, 0.5000, 0.0000)  2 Mn 2.20
Li (0.0000, 0.0000, 0.5000)  2 Mn 2.58
Li (0.5000, 0.0000, 0.0000)  2 Mn 2.58
Mn (0.0000, 0.0000, 0.0000)  2 Ti 2.20

DOS at the Fermi energy: 0.75 states/eV/atom

---

Entry 4:
Compound: LiTaMn
Source: Alexandria via LeMat-Bulk
Functional: GGA-PBE
Structure: optimized geometry

Cell: 4.6411 4.6411 4.6411 Å, 148.06 126.71 63.49°
Closest atoms and distances in Å follow each position.
Element x y z (fractional)
Li (0.9975, 0.9975, 0.0000)  2 Li 2.55, 5 Ta 2.59-2.79, 5 Mn 2.65-2.76
Ta (0.6689, 0.6689, 0.0000)  2 Ta 2.55, 5 Li 2.59-2.79, 5 Mn 2.65-2.77
Mn (0.3336, 0.3336, 0.0000)  2 Mn 2.55, 5 Ta 2.65-2.77, 5 Li 2.65-2.76

DOS at the Fermi energy: 0.93 states/eV/atom
excess energy over the best structure of this formula in the dataset: 69.5 meV per atom

---

| no. | total magnetization (Bohr magnetons per cell) | formation energy (eV per formula unit) |
| --- | --- | --- |
| 1 | 3.80 | 1.60 |
| 2 | 4.43 | 6.17 |
| 3 | 1.26 | 2.11 |
| 4 | 0.00 | 1.28 |